No. 1
{"formula": "ZnSbCl2", "functional": "PBE", "state": "optimized geometry", "cell": [[0.000, 3.565, 3.565], [3.565, 0.000, 3.565], [3.565, 3.565, 0.000]], "species": ["Zn", "Sb", "Cl", "Cl"], "frac_coords": [[0.000, 0.000, 0.000], [0.500, 0.500, 0.500], [0.250, 0.250, 0.250], [0.750, 0.750, 0.750]], "magnetic_moment_mub_per_atom": 0.000, "formation_energy_uncorrected_ev_per_atom": 0.0852, "polymorph_energy_mev_per_atom": 634, "space_group": "Fm-3m"}

***

No. 2
{"formula": "FeBr3", "functional": "PBE", "state": "optimized geometry", "cell": [[1.766, 1.020, 8.932], [-1.766, 1.020, 8.932], [0.000, -2.040, 8.932]], "species": ["Fe", "Br", "Br", "Br"], "frac_coords": [[0.000, 0.000, 0.000], [0.284, 0.284, 0.284], [0.500, 0.500, 0.500], [0.716, 0.716, 0.716]], "magnetic_moment_mub_per_atom": 0.137, "formation_energy_uncorrected_ev_per_atom": 0.0159, "space_group": "R-3m"}

***

No. 3
{"formula": "TbEr2Tm6", "functional": "PBE", "state": "optimized geometry", "cell": [[6.298, -6.969, 0.000], [6.298, 6.969, 0.000], [-1.502, 0.000, 6.261]], "species": ["Tb", "Tb", "Er", "Er", "Er", "Er", "Tm", "Tm", "Tm", "Tm", "Tm", "Tm", "Tm", "Tm", "Tm", "Tm", "Tm", "Tm"], "frac_coords": [[0.120, 0.880, 0.750], [0.880, 0.120, 0.250], [0.335, 0.383, 0.631], [0.383, 0.335, 0.131], [0.617, 0.665, 0.869], [0.665, 0.617, 0.369], [0.048, 0.222, 0.816], [0.061, 0.461, 0.271], [0.222, 0.048, 0.316], [0.278, 0.649, 0.998], [0.351, 0.722, 0.502], [0.461, 0.061, 0.771], [0.539, 0.939, 0.229], [0.649, 0.278, 0.498], [0.722, 0.351, 0.002], [0.778, 0.952, 0.684], [0.939, 0.539, 0.729], [0.952, 0.778, 0.184]], "formation_energy_mev_per_atom": 105, "magnetic_moment_mub_per_atom": 0.000, "polymorph_energy_mev_per_atom": 61, "space_group": "C2/c"}

***

No. 4
{"formula": "ScBeCl", "functional": "PBE", "state": "optimized geometry", "cell": [[-1.604, 1.604, 6.256], [1.604, -1.604, 6.256], [1.604, 1.604, -6.256]], "species": ["Sc", "Be", "Cl"], "frac_coords": [[0.000, 0.000, 0.000], [0.379, 0.379, 0.000], [0.617, 0.617, 0.000]], "magnetic_moment_mub_per_atom": 0.021, "formation_energy_uncorrected_ev_per_atom": -0.2843, "polymorph_energy_mev_per_atom": 78, "space_group": "I4mm"}

***

No. 5
{"formula": "BaAgN", "functional": "PBE", "state": "optimized geometry", "cell": [[5.811, 0.000, 0.000], [0.000, 5.811, 0.000], [0.000, 0.000, 4.175]], "species": ["Ba", "Ba", "Ag", "Ag", "N", "N"], "frac_coords": [[0.250, 0.750, 0.000], [0.750, 0.250, 0.000], [0.250, 0.250, 0.498], [0.750, 0.750, 0.502], [0.250, 0.250, 0.998], [0.750, 0.750, 0.002]], "magnetic_moment_mub_per_atom": 0.000, "formation_energy_uncorrected_ev_per_atom": -0.0391, "space_group": "P4/nmm"}

***

No. 6
{"formula": "CrSiGe2S", "functional": "PBE", "state": "optimized geometry", "cell": [[4.762, 0.000, 0.000], [0.000, 4.762, 0.000], [0.000, 0.000, 4.591]], "species": ["Cr", "Si", "Ge", "Ge", "S"], "frac_coords": [[0.000, 0.000, 0.000], [0.500, 0.500, 0.500], [0.000, 0.500, 0.500], [0.500, 0.000, 0.500], [0.500, 0.500, 0.000]], "magnetic_moment_mub_per_atom": 0.918, "formation_energy_uncorrected_ev_per_atom": 0.7515, "space_group": "P4/mmm"}

***

No. 7
{"formula": "LiSiTe2", "functional": "PBE", "state": "optimized geometry", "cell": [[4.035, -4.033, 0.000], [4.035, 4.033, 0.000], [-0.038, 0.000, 3.087]], "species": ["Li", "Si", "Te", "Te"], "frac_coords": [[0.000, 0.000, 0.000], [0.500, 0.500, 0.000], [0.000, 0.500, 0.000], [0.500, 0.000, 0.000]], "magnetic_moment_mub_per_atom": 0.000, "formation_energy_uncorrected_ev_per_atom": -0.1294, "polymorph_energy_mev_per_atom": 168, "space_group": "C2/m"}

***

No. 8
{"formula": "Cs4CdHg2Au2", "functional": "PBE", "state": "optimized geometry", "cell": [[5.322, -5.227, 0.000], [5.322, 5.227, 0.000], [-0.845, 0.000, 7.009]], "species": ["Cs", "Cs", "Cs", "Cs", "Cd", "Hg", "Hg", "Au", "Au"], "frac_coords": [[0.077, 0.666, 0.753], [0.334, 0.923, 0.247], [0.666, 0.077, 0.753], [0.923, 0.334, 0.247], [0.500, 0.500, 0.500], [0.187, 0.187, 0.794], [0.813, 0.813, 0.206], [0.393, 0.393, 0.109], [0.607, 0.607, 0.891]], "formation_energy_mev_per_atom": -209, "magnetic_moment_mub_per_atom": 0.000, "space_group": "C2/m"}